[1]
Sr9LaTi10O30: relaxed, PBE-GGA.

Computed properties:
Theoretical density = 5.112 g/cm³
SG = P-1
Total DFT energy (no corrections) = -405.74 eV per formula unit
Fermi-level density of states = 10.26 states/eV/cell

```
Sr9LaTi10O30
1.0
-6.2455 0.9872 -7.2853
3.4400 -6.8999 -8.0740
-7.7335 -9.6889 1.0995
Sr La Ti O
18 2 20 60
Direct
0.5499 0.4502 0.6503 Sr
0.1494 0.8505 0.4505 Sr
0.8506 0.1495 0.5495 Sr
0.7496 0.2511 0.2499 Sr
0.5502 0.9498 0.6498 Sr
0.3501 0.6497 0.0498 Sr
0.4501 0.5498 0.3497 Sr
0.1506 0.3491 0.4497 Sr
0.9499 0.0496 0.8498 Sr
0.0501 0.9504 0.1502 Sr
0.8494 0.6509 0.5503 Sr
0.6499 0.3503 0.9502 Sr
0.3503 0.1498 0.0502 Sr
0.4498 0.0502 0.3502 Sr
0.2504 0.7489 0.7501 Sr
0.0498 0.4502 0.1504 Sr
0.9502 0.5498 0.8496 Sr
0.6497 0.8502 0.9498 Sr
0.7499 0.7503 0.2504 La
0.2501 0.2497 0.7496 La
0.8007 0.9505 0.4011 Ti
0.4996 0.2501 0.4987 Ti
0.1993 0.0495 0.5989 Ti
0.1017 0.6497 0.2997 Ti
0.7999 0.4488 0.4004 Ti
0.6991 0.0511 0.0998 Ti
0.3989 0.8511 0.2000 Ti
0.5004 0.7499 0.5013 Ti
0.2001 0.5512 0.5996 Ti
0.3010 0.4507 0.8998 Ti
0.1002 0.1505 0.2993 Ti
0.9991 0.2497 0.0003 Ti
0.8998 0.8495 0.7007 Ti
0.6010 0.6503 0.8001 Ti
0.6990 0.5493 0.1002 Ti
0.3990 0.3497 0.1999 Ti
0.3009 0.9489 0.9002 Ti
0.0009 0.7503 0.9997 Ti
0.8983 0.3503 0.7003 Ti
0.6011 0.1489 0.8000 Ti
0.3479 0.3972 0.5538 O
0.9469 0.7994 0.3479 O
0.3457 0.6544 0.5336 O
0.5366 0.6894 0.6541 O
0.8660 0.9086 0.5445 O
0.5514 0.1996 0.1512 O
0.0556 0.9448 0.6655 O
0.9444 0.0552 0.3345 O
0.3498 0.8997 0.5498 O
0.1340 0.0914 0.4555 O
0.4634 0.3106 0.3459 O
0.1479 0.5986 0.9507 O
0.6543 0.3456 0.4664 O
0.5448 0.4554 0.1355 O
0.9502 0.3012 0.3492 O
0.0531 0.2006 0.6521 O
0.3441 0.1557 0.5361 O
0.7339 0.4908 0.2556 O
0.5268 0.1903 0.6576 O
0.0647 0.7114 0.1452 O
0.8671 0.4113 0.5443 O
0.8483 0.8977 0.0538 O
0.7495 0.0010 0.7483 O
0.2555 0.7446 0.2663 O
0.1444 0.8557 0.9346 O
0.6521 0.6028 0.4462 O
0.5529 0.7008 0.1523 O
0.0605 0.4392 0.6692 O
0.9395 0.5608 0.3308 O
0.3354 0.8901 0.0550 O
0.1329 0.5887 0.4557 O
0.6646 0.1099 0.9450 O
0.4732 0.8097 0.3424 O
0.8556 0.1443 0.0654 O
0.7445 0.2554 0.7337 O
0.1517 0.1023 0.9462 O
0.2505 0.9990 0.2517 O
0.6559 0.8443 0.4639 O
0.5461 0.9539 0.1352 O
0.0498 0.6988 0.6508 O
0.9353 0.2886 0.8548 O
0.7339 0.9837 0.2555 O
0.2661 0.5092 0.7444 O
0.0664 0.2093 0.1438 O
0.4552 0.5446 0.8645 O
0.8521 0.4014 0.0493 O
0.7517 0.5002 0.7503 O
0.2553 0.2447 0.2641 O
0.1476 0.3522 0.9284 O
0.6502 0.1003 0.4502 O
0.3359 0.3889 0.0541 O
0.6641 0.6111 0.9459 O
0.4486 0.8004 0.8488 O
0.8524 0.6478 0.0716 O
0.7447 0.7553 0.7359 O
0.2483 0.4998 0.2497 O
0.9336 0.7907 0.8562 O
0.2661 0.0163 0.7445 O
0.4539 0.0461 0.8648 O
0.4471 0.2992 0.8477 O
```

[2]
Sr2LaTlO5: relaxed, PBE-GGA.

Computed properties:
Theoretical density = 6.166 g/cm³
SG = Cmc2_1
Total DFT energy (no corrections) = -56.51 eV per formula unit

```
Sr2LaTlO5
1.0
-2.5303 -2.1163 1.5151
4.2024 -4.8012 -4.0365
7.2039 -1.7519 9.5839
Sr La Tl O
4 2 2 10
Direct
0.8725 0.7450 0.7362 Sr
0.1303 0.2606 0.7225 Sr
0.1275 0.2550 0.2362 Sr
0.8697 0.7394 0.2225 Sr
0.7617 0.5235 0.4934 La
0.2383 0.4765 0.9934 La
0.5011 0.0023 0.9740 Tl
0.4989 0.9977 0.4740 Tl
0.3826 0.7653 0.0804 O
0.7321 0.4643 0.8595 O
0.4877 0.9755 0.7968 O
0.2830 0.5660 0.6295 O
0.9278 0.8555 0.5316 O
0.6174 0.2347 0.5804 O
0.2679 0.5357 0.3595 O
0.5123 0.0245 0.2968 O
0.7170 0.4340 0.1295 O
0.0722 0.1445 0.0316 O
```

[3]
SrLa2TlO: relaxed, PBE-GGA.

Computed properties:
Theoretical density = 7.198 g/cm³
SG = P4/mmm
Energy above the lowest structure with this stoichiometry = 0 meV per atom
Fermi-level density of states = 2.64 states/eV/cell

```
SrLa2TlO
1.0
5.0928 0.0000 0.0000
0.0000 5.0928 0.0000
0.0000 0.0000 5.2106
Sr Tl O La
1 1 1 2
Direct
0.0000 0.0000 0.5000 Sr
0.5000 0.5000 0.5000 Tl
0.0000 0.0000 0.0000 O
0.0000 0.5000 0.0000 La
0.5000 0.0000 0.0000 La
```

[4]
Sr2LaUO6: relaxed, PBE-GGA.

Computed properties:
Theoretical density = 6.479 g/cm³
SG = P2_1/c
Total DFT energy (no corrections) = -81.64 eV per formula unit

```
Sr2LaUO6
1.0
-4.5114 -3.8877 1.2092
1.7964 -3.5820 -4.8144
5.2950 -4.4736 5.3041
Sr La U O
4 2 2 12
Direct
0.0132 0.9533 0.2530 Sr
0.5132 0.5467 0.7530 Sr
0.9868 0.0467 0.7470 Sr
0.4868 0.4533 0.2470 Sr
0.5000 0.0000 0.0000 La
0.0000 0.5000 0.5000 La
0.5000 0.0000 0.5000 U
0.0000 0.5000 0.0000 U
0.2876 0.6859 0.0545 O
0.7876 0.8141 0.5545 O
0.7124 0.3141 0.9455 O
0.2124 0.1859 0.4455 O
0.3159 0.7153 0.4326 O
0.8159 0.7847 0.9326 O
0.6841 0.2847 0.5674 O
0.1841 0.2153 0.0674 O
0.8872 0.5524 0.2343 O
0.3872 0.9476 0.7343 O
0.1128 0.4476 0.7657 O
0.6128 0.0524 0.2657 O
```